1.
A relaxed ReSe2O crystal, computed with PBE-GGA.

formation energy without anion corrections = 2.33 eV per formula unit
polymorph energy (0 for the lowest one) = 160 meV per atom

Unit cell a=6.160 b=6.160 c=6.160 alpha=90.00 beta=90.00 gamma=90.00
Space group Fm-3m (No. 225)
Unique sites:
Re (0.000, 0.000, 0.000) (multiplicity 4)
Se (0.250, 0.250, 0.250) (multiplicity 8)
O (0.000, 0.000, 0.500) (multiplicity 4)

2.
A relaxed ReSe2O crystal, computed with PBE-GGA.

formation energy without anion corrections = 3.15 eV per formula unit
polymorph energy (0 for the lowest one) = 365 meV per atom

Unit cell a=2.8962 b=2.8962 c=25.1729 alpha=90.00 beta=90.00 gamma=120.00
Space group R-3m (No. 166, hexagonal axes)
Unique sites:
Re (0.0000, 0.0000, 0.0000) (multiplicity 3)
Se (0.0000, 0.0000, 0.0984) (multiplicity 6)
O (0.0000, 0.0000, 0.5000) (multiplicity 3)

3.
A relaxed ReSeO crystal, computed with PBE-GGA.

formation energy without anion corrections = -1.24 eV per formula unit

Unit cell a=5.3684 b=5.3684 c=6.0843 alpha=90.00 beta=90.00 gamma=120.00
Space group P3_2 (No. 145)
Unique sites:
Re (0.1564, 0.4798, 0.0000) (multiplicity 3)
Se (0.3661, 0.3271, 0.2962) (multiplicity 3)
O (0.0142, 0.7241, 0.1114) (multiplicity 3)

4.
A relaxed ReSe3O crystal, computed with PBE-GGA.

formation energy without anion corrections = 5.33 eV per formula unit
polymorph energy (0 for the lowest one) = 135 meV per atom

Unit cell a=4.342 b=4.342 c=4.342 alpha=90.00 beta=90.00 gamma=90.00
Space group Pm-3m (No. 221)
Unique sites:
Re (0.000, 0.000, 0.000) (multiplicity 1)
Se (0.000, 0.500, 0.500) (multiplicity 3)
O (0.500, 0.500, 0.500) (multiplicity 1)

5.
A relaxed ReSe2O crystal, computed with PBE-GGA.

formation energy without anion corrections = 1.69 eV per formula unit
polymorph energy (0 for the lowest one) = 0 meV per atom

Unit cell a=5.620 b=5.620 c=10.067 alpha=90.00 beta=90.00 gamma=90.00
Space group I-42d (No. 122)
Unique sites:
Re (0.000, 0.000, 0.000) (multiplicity 4)
Se (0.243, 0.250, 0.625) (multiplicity 8)
O (0.000, 0.000, 0.500) (multiplicity 4)

6.
A relaxed ReSeO3 crystal, computed with PBE-GGA.

formation energy without anion corrections = 3.49 eV per formula unit

Unit cell a=3.959 b=3.959 c=3.959 alpha=90.00 beta=90.00 gamma=90.00
Space group Pm-3m (No. 221)
Unique sites:
Re (0.000, 0.000, 0.000) (multiplicity 1)
Se (0.500, 0.500, 0.500) (multiplicity 1)
O (0.000, 0.500, 0.500) (multiplicity 3)

7.
A relaxed TaReSe2O crystal, computed with PBE-GGA.

formation energy without anion corrections = 6.76 eV per formula unit

Unit cell a=4.918 b=4.918 c=5.327 alpha=90.00 beta=90.00 gamma=90.00
Space group P4/mmm (No. 123)
Unique sites:
Ta (0.000, 0.000, 0.000) (multiplicity 1)
Re (0.000, 0.000, 0.500) (multiplicity 1)
Se (0.000, 0.500, 0.000) (multiplicity 2)
O (0.500, 0.500, 0.500) (multiplicity 1)

8.
A relaxed TlRe2SeO crystal, computed with PBE-GGA.

formation energy without anion corrections = 4.26 eV per formula unit
polymorph energy (0 for the lowest one) = 0 meV per atom

Unit cell a=3.948 b=3.948 c=6.753 alpha=90.00 beta=90.00 gamma=90.00
Space group P4/mmm (No. 123)
Unique sites:
Tl (0.000, 0.000, 0.000) (multiplicity 1)
Re (0.000, 0.500, 0.500) (multiplicity 2)
Se (0.500, 0.500, 0.000) (multiplicity 1)
O (0.000, 0.000, 0.500) (multiplicity 1)